1.
TcBN3 | GGA-PBE | relaxed

The structure in POSCAR format:
```
TcBN3
1.0
3.866 0.000 0.000
0.000 3.866 0.000
0.000 0.000 3.866
Tc B N
1 1 3
Direct
0.000 0.000 0.000
0.500 0.500 0.500
0.000 0.000 0.500
0.000 0.500 0.000
0.500 0.000 0.000
```

Energy relative to the elements, uncorrected in kcal/mol of atoms: 42.1
D(E_F) in states/eV/cell: 2.83

2.
LiAc2TcH6 | GGA-PBE | relaxed

The structure in POSCAR format:
```
LiAc2TcH6
1.0
-2.776 2.776 3.971
2.776 -2.776 3.971
2.776 2.776 -3.971
Li Ac Tc H
1 2 1 6
Direct
0.000 0.000 0.000
0.250 0.750 0.500
0.750 0.250 0.500
0.500 0.500 0.000
0.266 0.266 0.533
0.266 0.734 0.000
0.268 0.268 0.000
0.732 0.732 0.000
0.734 0.266 0.000
0.734 0.734 0.467
```

D(E_F) in states/eV/cell: 3.06

3.
NaSc2Cr | GGA-PBE | relaxed

The structure in POSCAR format:
```
NaSc2Cr
1.0
1.585 0.915 10.753
-1.585 0.915 10.753
0.000 -1.830 10.753
Na Sc Cr
1 2 1
Direct
0.000 0.000 0.000
0.102 0.102 0.102
0.898 0.898 0.898
0.500 0.500 0.500
```

Relative energy among the computed polymorphs in kJ per mole of atoms: 0.0
D(E_F) in states/eV/cell: 4.85

4.
CdInW2 | GGA-PBE | relaxed

The structure in POSCAR format:
```
CdInW2
1.0
-1.989 1.989 4.611
1.989 -1.989 4.611
1.989 1.989 -4.611
Cd In W
1 1 2
Direct
0.000 0.000 0.000
0.500 0.500 0.000
0.250 0.750 0.500
0.750 0.250 0.500
```

Relative energy among the computed polymorphs in kJ per mole of atoms: 29.8
D(E_F) in states/eV/cell: 2.97

5.
Ce2DyNpS4 | GGA-PBE | relaxed

The structure in POSCAR format:
```
Ce2DyNpS4
1.0
6.864 0.000 0.000
0.000 3.955 0.000
-2.289 0.000 6.474
Ce Dy Np S
2 1 1 4
Direct
0.000 0.000 0.000
0.500 0.500 0.000
0.000 0.500 0.500
0.500 0.000 0.500
0.245 0.000 0.740
0.253 0.500 0.261
0.747 0.500 0.739
0.755 0.000 0.260
```

Energy relative to the elements, uncorrected in kcal/mol of atoms: -43.2
D(E_F) in states/eV/cell: 14.28

6.
Tc2OsCl | GGA-PBE | relaxed

The structure in POSCAR format:
```
Tc2OsCl
1.0
1.410 -2.441 0.000
1.410 2.441 0.000
0.000 0.000 8.841
Tc Os Cl
2 1 1
Direct
0.000 0.000 0.249
0.000 0.000 0.751
0.500 0.500 0.500
0.500 0.500 0.000
```

Relative energy among the computed polymorphs in kJ per mole of atoms: 36.6
Energy relative to the elements, uncorrected in kcal/mol of atoms: 15.4
D(E_F) in states/eV/cell: 5.41

no.,calculated volume (Å³ per cell),raw total energy (eV per atom)
1,58,-6.577
2,122,-4.439
3,94,-5.476
4,73,-6.657
5,176,-7.615
6,61,-7.786